1.
A geometry-optimized Ac3GaHg2Pd6 structure. Source: Alexandria via LeMat-Bulk, functional PBE.

Structure (CIF):
```
data_Ac3GaHg2Pd6
_chemical_formula_sum 'Ac3 Ga1 Hg2 Pd6'
_space_group_name_H-M_alt 'P 1'
_space_group_IT_number 1
_cell_length_a 5.9189
_cell_length_b 5.9189
_cell_length_c 9.0636
_cell_angle_alpha 90.00
_cell_angle_beta 90.00
_cell_angle_gamma 120.00
loop_
_space_group_symop_operation_xyz
'x,y,z'
loop_
_atom_site_label
_atom_site_type_symbol
_atom_site_fract_x
_atom_site_fract_y
_atom_site_fract_z
_atom_site_occupancy
Ac1 Ac 0.0000 0.0000 0.0000 1
Ac2 Ac 0.3333 0.6667 0.6259 1
Ac3 Ac 0.6667 0.3333 0.3741 1
Ga1 Ga 0.0000 0.0000 0.5000 1
Hg1 Hg 0.3333 0.6667 0.0182 1
Hg2 Hg 0.6667 0.3333 0.9818 1
Pd1 Pd 0.1726 0.3452 0.2926 1
Pd2 Pd 0.1726 0.8274 0.2926 1
Pd3 Pd 0.3452 0.1726 0.7074 1
Pd4 Pd 0.6548 0.8274 0.2926 1
Pd5 Pd 0.8274 0.1726 0.7074 1
Pd6 Pd 0.8274 0.6548 0.7074 1
```

Values from the calculation:
* magnetic moment: 0.0 μB per cell
* DFT formation energy: -0.712 eV per atom
* SG: P-3m1

2.
A geometry-optimized CsBI3 structure. Source: Alexandria via LeMat-Bulk, functional PBE.

Structure (CIF):
```
data_CsBI3
_chemical_formula_sum 'Cs4 B4 I12'
_space_group_name_H-M_alt 'P 1'
_space_group_IT_number 1
_cell_length_a 8.1889
_cell_length_b 8.6485
_cell_length_c 14.3519
_cell_angle_alpha 90.00
_cell_angle_beta 124.76
_cell_angle_gamma 90.00
loop_
_space_group_symop_operation_xyz
'x,y,z'
loop_
_atom_site_label
_atom_site_type_symbol
_atom_site_fract_x
_atom_site_fract_y
_atom_site_fract_z
_atom_site_occupancy
Cs1 Cs 0.2484 0.0117 0.2482 1
Cs2 Cs 0.2484 0.4883 0.7482 1
Cs3 Cs 0.7516 0.5117 0.2518 1
Cs4 Cs 0.7516 0.9883 0.7518 1
B1 B 0.4591 0.5821 0.4593 1
B2 B 0.4591 0.9179 0.9593 1
B3 B 0.5409 0.0821 0.0407 1
B4 B 0.5409 0.4179 0.5407 1
I1 I 0.2682 0.5268 0.2686 1
I2 I 0.2684 0.7338 0.4939 1
I3 I 0.2684 0.7662 0.9939 1
I4 I 0.2682 0.9732 0.7686 1
I5 I 0.2820 0.2345 0.0066 1
I6 I 0.2820 0.2655 0.5066 1
I7 I 0.7180 0.7345 0.4934 1
I8 I 0.7180 0.7655 0.9934 1
I9 I 0.7318 0.0268 0.2314 1
I10 I 0.7316 0.2338 0.0061 1
I11 I 0.7316 0.2662 0.5061 1
I12 I 0.7318 0.4732 0.7314 1
```

Values from the calculation:
* magnetic moment: 0.0 μB per cell
* E above lowest polymorph: 0 meV per atom
* SG: P2_1/c
* ΔE_f (raw): -0.67 eV/atom

3.
A geometry-optimized GdSnAs2 structure. Source: Alexandria via LeMat-Bulk, functional PBE.

Structure (CIF):
```
data_GdSnAs2
_chemical_formula_sum 'Gd1 Sn1 As2'
_space_group_name_H-M_alt 'P 1'
_space_group_IT_number 1
_cell_length_a 4.8606
_cell_length_b 4.8606
_cell_length_c 3.8354
_cell_angle_alpha 90.00
_cell_angle_beta 90.00
_cell_angle_gamma 90.00
loop_
_space_group_symop_operation_xyz
'x,y,z'
loop_
_atom_site_label
_atom_site_type_symbol
_atom_site_fract_x
_atom_site_fract_y
_atom_site_fract_z
_atom_site_occupancy
Gd1 Gd 0.0000 0.0000 0.0000 1
Sn1 Sn 0.5000 0.5000 0.0000 1
As1 As 0.0000 0.5000 0.5000 1
As2 As 0.5000 0.0000 0.5000 1
```

Values from the calculation:
* magnetic moment: 6.8 μB per cell
* DFT formation energy: -0.599 eV per atom
* E above lowest polymorph: 0 meV per atom
* SG: P4/mmm

4.
A geometry-optimized BaTaCd2 structure. Source: Alexandria via LeMat-Bulk, functional PBE.

Structure (CIF):
```
data_BaTaCd2
_chemical_formula_sum 'Ba1 Ta1 Cd2'
_space_group_name_H-M_alt 'P 1'
_space_group_IT_number 1
_cell_length_a 3.1370
_cell_length_b 4.9848
_cell_length_c 6.8630
_cell_angle_alpha 90.00
_cell_angle_beta 90.22
_cell_angle_gamma 90.00
loop_
_space_group_symop_operation_xyz
'x,y,z'
loop_
_atom_site_label
_atom_site_type_symbol
_atom_site_fract_x
_atom_site_fract_y
_atom_site_fract_z
_atom_site_occupancy
Ba1 Ba 0.0000 0.0000 0.0000 1
Ta1 Ta 0.9943 0.5000 0.3670 1
Cd1 Cd 0.4970 0.0000 0.4600 1
Cd2 Cd 0.4976 0.5000 0.7251 1
```

Values from the calculation:
* magnetic moment: 0.5 μB per cell
* DFT formation energy: 0.492 eV per atom
* E above lowest polymorph: 172 meV per atom
* SG: Pm

5.
A geometry-optimized TaCo2Rh structure. Source: Alexandria via LeMat-Bulk, functional PBE.

Structure (CIF):
```
data_TaCo2Rh
_chemical_formula_sum 'Ta1 Co2 Rh1'
_space_group_name_H-M_alt 'P 1'
_space_group_IT_number 1
_cell_length_a 2.7483
_cell_length_b 2.7483
_cell_length_c 7.1723
_cell_angle_alpha 90.00
_cell_angle_beta 90.00
_cell_angle_gamma 90.00
loop_
_space_group_symop_operation_xyz
'x,y,z'
loop_
_atom_site_label
_atom_site_type_symbol
_atom_site_fract_x
_atom_site_fract_y
_atom_site_fract_z
_atom_site_occupancy
Ta1 Ta 0.0000 0.0000 0.0000 1
Co1 Co 0.5000 0.5000 0.2623 1
Co2 Co 0.5000 0.5000 0.7377 1
Rh1 Rh 0.0000 0.0000 0.5000 1
```

Values from the calculation:
* magnetic moment: 3.2 μB per cell
* DFT formation energy: 0.030 eV per atom
* E above lowest polymorph: 368 meV per atom
* SG: P4/mmm

6.
A geometry-optimized Cu2TeAs structure. Source: Alexandria via LeMat-Bulk, functional PBE.

Structure (CIF):
```
data_Cu2TeAs
_chemical_formula_sum 'Cu2 Te1 As1'
_space_group_name_H-M_alt 'P 1'
_space_group_IT_number 1
_cell_length_a 3.4497
_cell_length_b 3.5977
_cell_length_c 5.8391
_cell_angle_alpha 90.00
_cell_angle_beta 90.00
_cell_angle_gamma 90.00
loop_
_space_group_symop_operation_xyz
'x,y,z'
loop_
_atom_site_label
_atom_site_type_symbol
_atom_site_fract_x
_atom_site_fract_y
_atom_site_fract_z
_atom_site_occupancy
Cu1 Cu 0.0000 0.0000 0.2130 1
Cu2 Cu 0.0000 0.0000 0.7870 1
Te1 Te 0.5000 0.5000 0.5000 1
As1 As 0.5000 0.5000 0.0000 1
```

Values from the calculation:
* magnetic moment: 0.0 μB per cell
* E above lowest polymorph: 250 meV per atom
* SG: Pmmm
* ΔE_f (raw): 0.31 eV/atom

7.
A geometry-optimized LiCuRu2 structure. Source: Alexandria via LeMat-Bulk, functional PBE.

Structure (CIF):
```
data_LiCuRu2
_chemical_formula_sum 'Li1 Cu1 Ru2'
_space_group_name_H-M_alt 'P 1'
_space_group_IT_number 1
_cell_length_a 2.6930
_cell_length_b 3.7632
_cell_length_c 5.2848
_cell_angle_alpha 90.00
_cell_angle_beta 90.39
_cell_angle_gamma 90.00
loop_
_space_group_symop_operation_xyz
'x,y,z'
loop_
_atom_site_label
_atom_site_type_symbol
_atom_site_fract_x
_atom_site_fract_y
_atom_site_fract_z
_atom_site_occupancy
Li1 Li 0.0000 0.0000 0.0000 1
Cu1 Cu 0.4971 0.5000 0.2125 1
Ru1 Ru 0.9997 0.0000 0.5017 1
Ru2 Ru 0.5016 0.5000 0.7086 1
```

Values from the calculation:
* magnetic moment: 0.0 μB per cell
* DFT formation energy: 0.139 eV per atom
* E above lowest polymorph: 0 meV per atom
* SG: Pm

8.
A geometry-optimized ZrScCS structure. Source: Alexandria via LeMat-Bulk, functional PBE.

Structure (CIF):
```
data_ZrScCS
_chemical_formula_sum 'Zr3 Sc3 C3 S3'
_space_group_name_H-M_alt 'P 1'
_space_group_IT_number 1
_cell_length_a 3.4284
_cell_length_b 3.4284
_cell_length_c 18.3928
_cell_angle_alpha 90.00
_cell_angle_beta 90.00
_cell_angle_gamma 120.00
loop_
_space_group_symop_operation_xyz
'x,y,z'
loop_
_atom_site_label
_atom_site_type_symbol
_atom_site_fract_x
_atom_site_fract_y
_atom_site_fract_z
_atom_site_occupancy
Zr1 Zr 0.0000 0.0000 0.0000 1
Zr2 Zr 0.3333 0.6667 0.6667 1
Zr3 Zr 0.6667 0.3333 0.3333 1
Sc1 Sc 0.0000 0.0000 0.8018 1
Sc2 Sc 0.3333 0.6667 0.4685 1
Sc3 Sc 0.6667 0.3333 0.1351 1
C1 C 0.0000 0.0000 0.3968 1
C2 C 0.3333 0.6667 0.0634 1
C3 C 0.6667 0.3333 0.7301 1
S1 S 0.0000 0.0000 0.5670 1
S2 S 0.3333 0.6667 0.2337 1
S3 S 0.6667 0.3333 0.9004 1
```

Values from the calculation:
* magnetic moment: 0.0 μB per cell
* SG: R3m
* ΔE_f (raw): -1.27 eV/atom

> Which formula does entry 7 have?

LiCuRu2